(1)
Density functional theory data (PBE with a Hubbard U) for a relaxed structure of Ac6Co3O14.

POSCAR file:
```
Ac6Co3O14
1.0
-2.247 4.402 -0.747
-5.166 -3.749 -6.553
-2.900 -0.008 8.676
Ac Co O
6 3 14
direct
0.760 0.023 0.443
0.250 0.774 0.083
0.250 0.309 0.226
0.250 0.917 0.691
0.760 0.420 0.977
0.760 0.557 0.580
0.497 0.667 0.333
0.812 0.000 0.000
0.324 0.333 0.667
0.467 0.269 0.461
0.271 0.502 0.101
0.957 0.143 0.940
0.467 0.193 0.731
0.271 0.899 0.400
0.467 0.539 0.807
0.957 0.060 0.204
0.723 0.829 0.566
0.271 0.600 0.498
0.968 0.333 0.667
0.723 0.737 0.171
0.723 0.434 0.263
0.456 0.000 0.000
0.957 0.796 0.857
```

Computed properties:
- size of the total moment (μB per atom) = 0.31
- calculated density (g cm⁻³) = 8.08
- volume (Å³ per atom) = 15.75

=====

(2)
Density functional theory data (PBE with a Hubbard U) for a relaxed structure of Ac12Co3O5.

POSCAR file:
```
Ac12Co3O5
1.0
14.650 0.000 0.000
-4.883 13.812 0.000
-4.883 -6.906 11.961
Co Ac O
12 48 20
direct
0.250 0.625 0.875
0.750 0.875 0.625
0.625 0.375 0.750
0.875 0.125 0.250
0.125 0.875 0.750
0.625 0.250 0.375
0.375 0.750 0.625
0.375 0.625 0.250
0.875 0.750 0.125
0.250 0.125 0.375
0.125 0.250 0.875
0.750 0.375 0.125
0.018 0.614 0.704
0.096 0.910 0.114
0.886 0.590 0.904
0.404 0.386 0.590
0.596 0.982 0.686
0.410 0.296 0.314
0.410 0.114 0.596
0.482 0.796 0.886
0.686 0.482 0.596
0.186 0.090 0.704
0.386 0.404 0.090
0.596 0.614 0.410
0.814 0.910 0.296
0.590 0.886 0.404
0.590 0.704 0.686
0.518 0.314 0.904
0.204 0.518 0.614
0.090 0.186 0.204
0.982 0.596 0.186
0.090 0.904 0.386
0.886 0.296 0.482
0.614 0.018 0.204
0.904 0.814 0.518
0.296 0.410 0.814
0.796 0.482 0.386
0.018 0.404 0.814
0.704 0.590 0.186
0.186 0.096 0.982
0.404 0.018 0.314
0.982 0.386 0.296
0.314 0.518 0.404
0.314 0.796 0.410
0.910 0.096 0.614
0.904 0.090 0.886
0.114 0.704 0.518
0.614 0.596 0.910
0.114 0.410 0.096
0.518 0.204 0.114
0.482 0.686 0.096
0.204 0.686 0.090
0.814 0.904 0.018
0.686 0.204 0.590
0.386 0.982 0.796
0.910 0.814 0.796
0.704 0.114 0.018
0.796 0.314 0.910
0.096 0.186 0.482
0.296 0.886 0.982
0.750 0.625 0.375
0.500 0.500 0.000
0.000 0.500 0.000
0.250 0.375 0.625
0.875 0.625 0.750
0.500 0.500 0.500
0.500 0.000 0.500
0.125 0.375 0.250
0.750 0.125 0.875
0.875 0.250 0.625
0.625 0.875 0.250
0.625 0.750 0.875
0.375 0.125 0.750
0.000 0.500 0.500
0.125 0.750 0.375
0.000 0.000 0.000
0.000 0.000 0.500
0.250 0.875 0.125
0.375 0.250 0.125
0.500 0.000 0.000
```

Computed properties:
- size of the total moment (μB per atom) = 0.24
- calculated density (g cm⁻³) = 8.18
- volume (Å³ per atom) = 30.25

=====

(3)
Density functional theory data (PBE with a Hubbard U) for a relaxed structure of Ac4Co3O10.

POSCAR file:
```
Ac4Co3O10
1.0
-2.687 1.124 2.656
-1.896 -3.424 -0.470
10.363 -4.785 9.587
O Co Ac
10 3 4
direct
0.637 0.137 0.274
0.363 0.863 0.726
0.863 0.363 0.726
0.137 0.637 0.274
0.065 0.065 0.130
0.000 0.500 0.000
0.500 0.000 0.000
0.217 0.217 0.433
0.783 0.783 0.567
0.935 0.935 0.870
0.137 0.137 0.274
0.000 0.000 0.000
0.863 0.863 0.726
0.698 0.698 0.396
0.302 0.302 0.604
0.433 0.433 0.867
0.567 0.567 0.133
```

Computed properties:
- size of the total moment (μB per atom) = 0.47
- calculated density (g cm⁻³) = 9.09
- volume (Å³ per atom) = 13.38

=====

(4)
Density functional theory data (PBE with a Hubbard U) for a relaxed structure of Ac3Co2O8.

POSCAR file:
```
Ac3Co2O8
1.0
5.347 0.000 2.020
2.292 4.831 2.020
0.186 0.118 7.594
O Ac Co
8 3 2
direct
0.216 0.737 0.309
0.319 0.319 0.042
0.784 0.263 0.691
0.263 0.784 0.691
0.263 0.263 0.691
0.681 0.681 0.958
0.737 0.216 0.309
0.737 0.737 0.309
0.795 0.795 0.615
0.205 0.205 0.385
0.000 0.000 0.000
0.407 0.407 0.779
0.593 0.593 0.221
```

Computed properties:
- size of the total moment (μB per atom) = 0.69
- calculated density (g cm⁻³) = 7.95
- volume (Å³ per atom) = 14.89

=====

| no. | raw total energy (eV/atom) |
| --- | --- |
| 1 | -7.256 |
| 2 | -5.636 |
| 3 | -7.167 |
| 4 | -7.029 |